Crystalline In2SN at its relaxed geometry. Source: Alexandria, functional PBE.

Unit cell a=4.5997 b=4.5997 c=4.5997 alpha=60.00 beta=60.00 gamma=60.00
Sites, in units of the cell vectors:
1 In 0.2500 0.2500 0.2500
2 In 0.7500 0.7500 0.7500
3 N 0.0000 0.0000 0.0000
4 S 0.5000 0.5000 0.5000

Results
The space-group type is Fm-3m. The value obtained for the excess energy over the best structure of this formula in the dataset is 803.9 meV per atom. The value obtained for the raw formation energy is 0.76 eV/atom.

Crystalline RbMoOsC2 at its relaxed geometry. Source: Alexandria, functional PBE.

Unit cell a=4.0765 b=5.1446 c=4.0765 alpha=90.00 beta=90.00 gamma=90.00
Sites, in units of the cell vectors:
1 Rb 0.0000 0.0000 0.0000
2 C 0.0000 0.0000 0.5000
3 C 0.5000 0.0000 0.0000
4 Mo 0.5000 0.5000 0.5000
5 Os 0.0000 0.5000 0.0000

Results
The space-group type is P4/mmm. The calculation puts the formation enthalpy at 0 K at 4.53 eV per atom.

Crystalline YPu2S4 at its relaxed geometry. Source: Alexandria, functional PBE.

Unit cell a=4.0801 b=7.0634 c=11.3593 alpha=90.00 beta=90.00 gamma=90.00
Sites, in units of the cell vectors:
1 S 0.5000 0.2486 0.9517
2 S 0.0000 0.6321 0.7791
3 S 0.5000 0.7486 0.5483
4 S 0.0000 0.1321 0.7209
5 S 0.5000 0.7514 0.0483
6 S 0.5000 0.2514 0.4517
7 S 0.0000 0.8679 0.2791
8 S 0.0000 0.3679 0.2209
9 Pu 0.5000 0.5973 0.3164
10 Pu 0.5000 0.0973 0.1836
11 Pu 0.5000 0.9027 0.8164
12 Pu 0.5000 0.4027 0.6836
13 Y 0.0000 0.0000 0.5000
14 Y 0.0000 0.5000 0.0000

Results
The space-group type is Pbam. The value obtained for the excess energy over the best structure of this formula in the dataset is 0.0 meV per atom. The value obtained for the raw formation energy is -1.83 eV/atom.

Crystalline TiNb6Au at its relaxed geometry. Source: Alexandria, functional PBE.

Unit cell a=3.3574 b=6.5403 c=6.5403 alpha=89.86 beta=90.00 gamma=90.00
Sites, in units of the cell vectors:
1 Nb 0.0000 0.3733 0.1228
2 Nb 0.5000 0.1300 0.8700
3 Nb 0.0000 0.8772 0.6267
4 Nb 0.5000 0.6176 0.8694
5 Nb 0.5000 0.1306 0.3824
6 Nb 0.0000 0.3802 0.6198
7 Au 0.0000 0.8696 0.1304
8 Ti 0.5000 0.6218 0.3782

Results
The space-group type is Amm2. The calculation puts the formation enthalpy at 0 K at -0.10 eV per atom.

| no. | density (g cm⁻³) |
| --- | --- |
| 1 | 6.7 |
| 2 | 7.7 |
| 3 | 7.2 |
| 4 | 9.3 |